Record 1
DFT (PBE) results for a relaxed structure of Ho9B5S21.

Calculated values
- Uncorrected formation energy: -1.45 eV per atom
- Space-group type: R3, No. 146
- Calculated density: 5.37 g/cm³

Cell lengths 11.151, 11.151, 11.151 Å; angles 95.09, 95.09, 95.09 degrees
Atoms (fractional coordinates):
S1 0.482 0.007 0.905
S2 0.943 0.424 0.523
S3 0.553 0.637 0.417
S4 0.741 0.860 0.292
S5 0.527 0.355 0.260
S6 0.019 0.935 0.154
S7 0.307 0.088 0.227
S8 0.260 0.527 0.355
S9 0.738 0.901 0.006
S10 0.305 0.967 0.654
S11 0.209 0.601 0.075
S12 0.227 0.307 0.088
S13 0.292 0.741 0.860
S14 0.827 0.345 0.218
S15 0.563 0.135 0.684
S16 0.860 0.292 0.741
S17 0.967 0.654 0.305
S18 0.075 0.209 0.601
S19 0.695 0.604 0.825
S20 0.684 0.563 0.135
S21 0.007 0.905 0.482
S22 0.135 0.684 0.563
S23 0.604 0.825 0.695
S24 0.654 0.305 0.967
S25 0.901 0.006 0.738
S26 0.469 0.800 0.157
S27 0.601 0.075 0.209
S28 0.157 0.469 0.800
S29 0.417 0.553 0.637
S30 0.006 0.738 0.901
S31 0.825 0.695 0.604
S32 0.154 0.019 0.935
S33 0.800 0.157 0.469
S34 0.905 0.482 0.007
S35 0.637 0.417 0.553
S36 0.523 0.943 0.424
S37 0.424 0.523 0.943
S38 0.088 0.227 0.307
S39 0.345 0.218 0.827
S40 0.935 0.154 0.019
S41 0.218 0.827 0.345
S42 0.355 0.260 0.527
Ho1 0.425 0.548 0.193
Ho2 0.924 0.535 0.762
Ho3 0.759 0.519 0.371
Ho4 0.863 0.725 0.081
Ho5 0.762 0.924 0.535
Ho6 0.063 0.451 0.204
Ho7 0.725 0.081 0.863
Ho8 0.519 0.371 0.759
Ho9 0.081 0.863 0.725
Ho10 0.229 0.841 0.081
Ho11 0.081 0.229 0.841
Ho12 0.841 0.081 0.229
Ho13 0.535 0.762 0.924
Ho14 0.548 0.193 0.425
Ho15 0.371 0.759 0.519
Ho16 0.204 0.063 0.451
Ho17 0.451 0.204 0.063
Ho18 0.193 0.425 0.548
B1 0.077 0.762 0.419
B2 0.419 0.077 0.762
B3 0.527 0.527 0.527
B4 0.914 0.265 0.581
B5 0.026 0.026 0.026
B6 0.265 0.581 0.914
B7 0.205 0.205 0.205
B8 0.706 0.706 0.706
B9 0.581 0.914 0.265
B10 0.762 0.419 0.077



Record 2
DFT (PBE) results for a relaxed structure of PaAl3Ni.

Calculated values
- Energy of formation from the pure elements: -0.438 eV/atom
- Space-group type: Pnma, No. 62
- Calculated density: 7.09 g/cm³

Cell lengths 4.021, 8.103, 10.651 Å; angles 90.00, 90.00, 90.00 degrees
Last column: magnetic moment on the atom in μB.
Atoms (fractional coordinates):
Pa1 0.250 0.176 0.997  0.23
Pa2 0.750 0.324 0.497  0.23
Pa3 0.250 0.676 0.503  0.23
Pa4 0.750 0.824 0.003  0.23
Al1 0.750 0.610 0.285  0.00
Al2 0.250 0.858 0.219  0.00
Al3 0.750 0.142 0.781  0.00
Al4 0.750 0.110 0.215  0.00
Al5 0.250 0.558 0.085  0.00
Al6 0.250 0.390 0.715  0.00
Al7 0.750 0.442 0.915  0.00
Al8 0.250 0.890 0.785  0.00
Al9 0.250 0.358 0.281  0.00
Al10 0.750 0.642 0.719  0.00
Al11 0.750 0.942 0.585  0.00
Al12 0.250 0.058 0.415  0.00
Ni1 0.750 0.389 0.140  0.00
Ni2 0.250 0.611 0.860  0.00
Ni3 0.250 0.111 0.640  0.00
Ni4 0.750 0.889 0.360  0.00



Record 3
DFT (PBE) results for a relaxed structure of Na2CaGeO4.

Calculated values
- Uncorrected formation energy: -1.93 eV per atom
- Space-group type: P2/m, No. 10
- Calculated density: 3.79 g/cm³

Cell lengths 3.179, 5.635, 5.798 Å; angles 110.17, 90.00, 90.00 degrees
Atoms (fractional coordinates):
O1 0.000 0.795 0.194
O2 0.500 0.213 0.209
O3 0.000 0.205 0.806
O4 0.500 0.787 0.791
Na1 0.500 0.000 0.500
Na2 0.000 0.500 0.500
Ge1 0.000 0.000 0.000
Ca1 0.500 0.500 0.000



One value per record, in order, for spin magnetization: 0.000 0.289 0.000 μB per formula unit.